Version w
Crystalline TeIrCl2 at its relaxed geometry, computed with PBEsol.

Cell and atoms, written as extended XYZ:
```
4
Lattice="1.733 1.001 8.495 -1.733 1.001 8.495 0.000 -2.001 8.495" Properties=species:S:1:pos:R:3 pbc="T T T"
Te 0.000 0.000 0.000
Ir 0.000 0.000 12.742
Cl 0.000 0.000 5.546
Cl 0.000 0.000 19.937
```

Values from the calculation:
Space group = R-3m (166)
N(E_F) = 3.21 states/eV/f.u.
Total magnetization = 0.000 μB/atom


Version x
Crystalline TeIrCl2 at its relaxed geometry, computed with PBEsol.

Cell and atoms, written as extended XYZ:
```
4
Lattice="3.032 0.000 0.000 0.000 4.560 0.000 0.000 0.000 5.221" Properties=species:S:1:pos:R:3 pbc="T T T"
Te 0.000 0.000 0.000
Ir 1.516 0.000 2.610
Cl 0.000 2.280 2.610
Cl 1.516 2.280 0.000
```

Values from the calculation:
Space group = Pmmm (47)
N(E_F) = 2.08 states/eV/f.u.
Total magnetization = 0.000 μB/atom


It is version x that is the least stable of them.


Version w
Crystalline TeIrCl2 at its relaxed geometry, computed with PBEsol.

Cell and atoms, written as extended XYZ:
```
4
Lattice="-1.841 2.627 5.673 1.841 -2.627 5.673 1.841 2.627 -5.673" Properties=species:S:1:pos:R:3 pbc="T T T"
Te 0.000 0.000 0.000
Ir 0.000 2.627 3.992
Cl 1.841 0.000 5.055
Cl 0.000 0.000 8.067
```

Values from the calculation:
Space group = Imm2 (44)
N(E_F) = 2.39 states/eV/f.u.
Total magnetization = 0.257 μB/atom


Version x
Crystalline TeIrCl2 at its relaxed geometry, computed with PBEsol.

Cell and atoms, written as extended XYZ:
```
4
Lattice="2.885 -4.324 0.000 2.885 4.324 0.000 0.000 0.000 2.993" Properties=species:S:1:pos:R:3 pbc="T T T"
Te 0.000 0.000 0.000
Ir 2.885 0.000 0.000
Cl 1.442 2.162 1.497
Cl 1.442 -2.162 1.497
```

Values from the calculation:
Space group = Cmmm (65)
N(E_F) = 4.30 states/eV/f.u.
Total magnetization = 0.220 μB/atom


It is version x that is the least stable of them.


Version w
Crystalline TlIrCl2 at its relaxed geometry, computed with PBEsol.

Cell and atoms, written as extended XYZ:
```
4
Lattice="0.000 3.347 3.347 3.347 0.000 3.347 3.347 3.347 0.000" Properties=species:S:1:pos:R:3 pbc="T T T"
Tl 0.000 0.000 0.000
Ir 1.673 1.673 1.673
Cl 3.347 3.347 3.347
Cl 5.020 5.020 5.020
```

Values from the calculation:
Space group = F-43m (216)
N(E_F) = 6.58 states/eV/f.u.
Total magnetization = 0.127 μB/atom


Version x
Crystalline TlIrCl2 at its relaxed geometry, computed with PBEsol.

Cell and atoms, written as extended XYZ:
```
4
Lattice="2.798 -4.830 0.000 2.798 4.830 0.000 0.000 0.000 3.515" Properties=species:S:1:pos:R:3 pbc="T T T"
Tl 0.000 0.000 0.000
Ir 2.798 0.000 0.000
Cl 2.798 1.540 1.757
Cl 2.798 -1.540 1.757
```

Values from the calculation:
Space group = Cmmm (65)
N(E_F) = 0.95 states/eV/f.u.
Total magnetization = 0.000 μB/atom


It is version w that is the least stable of them.


Version w
Crystalline IrW2Cl at its relaxed geometry, computed with PBEsol.

Cell and atoms, written as extended XYZ:
```
4
Lattice="4.145 0.000 0.000 0.000 1.392 5.206 0.000 -1.392 5.206" Properties=species:S:1:pos:R:3 pbc="T T T"
Ir 0.000 0.000 0.000
W 0.000 0.000 7.734
W 2.073 0.000 4.172
Cl 2.073 0.000 6.573
```

Values from the calculation:
Space group = Amm2 (38)
N(E_F) = 2.32 states/eV/f.u.
Total magnetization = 0.000 μB/atom


Version x
Crystalline IrW2Cl at its relaxed geometry, computed with PBEsol.

Cell and atoms, written as extended XYZ:
```
4
Lattice="2.827 0.000 0.000 0.000 2.827 0.000 0.000 0.000 7.951" Properties=species:S:1:pos:R:3 pbc="T T T"
Ir 0.000 0.000 0.000
W 0.000 0.000 3.770
W 1.413 1.413 1.687
Cl 1.413 1.413 5.394
```

Values from the calculation:
Space group = P4mm (99)
N(E_F) = 2.31 states/eV/f.u.
Total magnetization = 0.000 μB/atom


It is version w that is the least stable of them.


Version w
Crystalline Ir2WCl at its relaxed geometry, computed with PBEsol.

Cell and atoms, written as extended XYZ:
```
4
Lattice="3.886 0.000 0.000 0.000 3.886 0.000 0.000 0.000 3.974" Properties=species:S:1:pos:R:3 pbc="T T T"
Ir 0.000 1.943 0.000
Ir 1.943 0.000 0.000
W 0.000 0.000 1.987
Cl 1.943 1.943 1.987
```

Values from the calculation:
Space group = P4/mmm (123)
N(E_F) = 6.04 states/eV/f.u.
Total magnetization = 0.001 μB/atom


Version x
Crystalline Ir2WCl at its relaxed geometry, computed with PBEsol.

Cell and atoms, written as extended XYZ:
```
4
Lattice="-1.360 2.249 5.053 1.360 -2.249 5.053 1.360 2.249 -5.053" Properties=species:S:1:pos:R:3 pbc="T T T"
Ir 0.000 0.000 2.276
Ir 0.000 0.000 7.829
W 1.360 0.000 0.000
Cl 0.000 2.249 0.000
```

Values from the calculation:
Space group = Immm (71)
N(E_F) = 2.88 states/eV/f.u.
Total magnetization = 0.000 μB/atom


Version y
Crystalline Ir2WCl at its relaxed geometry, computed with PBEsol.

Cell and atoms, written as extended XYZ:
```
4
Lattice="2.771 0.000 0.000 0.000 2.771 0.000 0.000 0.000 8.340" Properties=species:S:1:pos:R:3 pbc="T T T"
Ir 0.000 0.000 0.000
Ir 1.385 1.385 1.934
W 0.000 0.000 3.747
Cl 1.385 1.385 5.365
```

Values from the calculation:
Space group = P4mm (99)
N(E_F) = 4.68 states/eV/f.u.
Total magnetization = 0.000 μB/atom


It is version w that is the least stable of them.


Version w
Crystalline YIrCl2 at its relaxed geometry, computed with PBEsol.

Cell and atoms, written as extended XYZ:
```
4
Lattice="-1.931 1.931 4.748 1.931 -1.931 4.748 1.931 1.931 -4.748" Properties=species:S:1:pos:R:3 pbc="T T T"
Y 0.000 0.000 0.000
Ir 1.931 0.000 2.374
Cl 0.000 0.000 4.748
Cl 0.000 1.931 2.374
```

Values from the calculation:
Space group = I-4m2 (119)
N(E_F) = 1.07 states/eV/f.u.
Total magnetization = 0.000 μB/atom


Version x
Crystalline YIrCl2 at its relaxed geometry, computed with PBEsol.

Cell and atoms, written as extended XYZ:
```
4
Lattice="4.246 0.000 0.000 0.000 4.246 0.000 0.000 0.000 3.871" Properties=species:S:1:pos:R:3 pbc="T T T"
Y 0.000 0.000 0.000
Ir 2.123 2.123 0.000
Cl 0.000 2.123 1.935
Cl 2.123 0.000 1.935
```

Values from the calculation:
Space group = P4/mmm (123)
N(E_F) = 2.70 states/eV/f.u.
Total magnetization = 0.000 μB/atom


It is version x that is the least stable of them.